1.
Here is a geometry-optimized Si2AgPb structure from OQMD. Energies are from PBE.

```
data_Si2AgPb
_chemical_formula_sum 'Si8 Ag4 Pb4'
_symmetry_space_group_name_H-M 'F -4 3 m'
_symmetry_Int_Tables_number 216
_symmetry_space_group_name_Hall 'F -4 2 3'
_cell_length_a 6.892
_cell_length_b 6.892
_cell_length_c 6.892
_cell_angle_alpha 90.00
_cell_angle_beta 90.00
_cell_angle_gamma 90.00
loop_
_atom_site_label
_atom_site_fract_x
_atom_site_fract_y
_atom_site_fract_z
_atom_site_occupancy
Si1 0.000 0.000 0.000 1
Si2 0.250 0.250 0.250 1
Ag1 0.250 0.250 0.750 1
Pb1 0.000 0.000 0.500 1
```


2.
# Tb3Si2Ag4Pb2 | OQMD | PBE | relaxed
# total moment	0.0	μB per cell
data_Tb3Si2Ag4Pb2
_chemical_formula_sum 'Tb6 Si4 Ag8 Pb4'
_symmetry_space_group_name_H-M 'I m m m'
_symmetry_Int_Tables_number 71
_symmetry_space_group_name_Hall '-I 2 2'
_cell_length_a 4.481
_cell_length_b 7.138
_cell_length_c 15.204
_cell_angle_alpha 90.00
_cell_angle_beta 90.00
_cell_angle_gamma 90.00
loop_
_atom_site_label
_atom_site_fract_x
_atom_site_fract_y
_atom_site_fract_z
_atom_site_occupancy
Tb1 0.000 0.000 0.000 1
Tb2 0.000 0.500 0.118 1
Si1 0.000 0.169 0.500 1
Ag1 0.000 0.303 0.351 1
Pb1 0.000 0.000 0.221 1


3.
# Y2SiAg2Pb | OQMD | PBE | relaxed
# total moment	0.0	μB per cell
data_Y2SiAg2Pb
_chemical_formula_sum 'Y8 Si4 Ag8 Pb4'
_symmetry_space_group_name_H-M 'P 1 m 1'
_symmetry_Int_Tables_number 6
_symmetry_space_group_name_Hall 'P -2y'
_cell_length_a 11.488
_cell_length_b 4.706
_cell_length_c 11.505
_cell_angle_alpha 90.00
_cell_angle_beta 109.50
_cell_angle_gamma 90.00
loop_
_atom_site_label
_atom_site_fract_x
_atom_site_fract_y
_atom_site_fract_z
_atom_site_occupancy
Y1 0.000 0.000 0.000 1
Y2 0.116 0.500 0.366 1
Y3 0.249 0.000 0.740 1
Y4 0.388 0.500 0.123 1
Y5 0.515 0.000 0.513 1
Y6 0.633 0.500 0.881 1
Y7 0.751 0.000 0.249 1
Y8 0.879 0.500 0.635 1
Si1 0.002 0.000 0.497 1
Si2 0.508 0.000 0.002 1
Si3 0.756 0.000 0.756 1
Si4 0.876 0.500 0.125 1
Ag1 0.115 0.500 0.610 1
Ag2 0.267 0.000 0.998 1
Ag3 0.378 0.500 0.377 1
Ag4 0.514 0.000 0.767 1
Ag5 0.635 0.500 0.121 1
Ag6 0.770 0.000 0.512 1
Ag7 0.874 0.500 0.881 1
Ag8 0.992 0.000 0.246 1
Pb1 0.131 0.500 0.874 1
Pb2 0.253 0.000 0.249 1
Pb3 0.379 0.500 0.627 1
Pb4 0.633 0.500 0.380 1


4.
# SmAgPb | OQMD | PBE | relaxed
# total moment	0.0	μB per cell
data_SmAgPb
_chemical_formula_sum 'Sm2 Ag2 Pb2'
_symmetry_space_group_name_H-M 'P 3 m 1'
_symmetry_Int_Tables_number 156
_symmetry_space_group_name_Hall 'P 3 -2"'
_cell_length_a 4.8758
_cell_length_b 4.8758
_cell_length_c 7.6039
_cell_angle_alpha 90.00
_cell_angle_beta 90.00
_cell_angle_gamma 120.00
loop_
_atom_site_label
_atom_site_fract_x
_atom_site_fract_y
_atom_site_fract_z
_atom_site_occupancy
Sm1 0.0000 0.0000 0.0000 1
Sm2 0.0000 0.0000 0.5002 1
Ag1 0.3333 0.6667 0.1941 1
Ag2 0.6667 0.3333 0.6900 1
Pb1 0.3333 0.6667 0.7790 1
Pb2 0.6667 0.3333 0.2816 1


E_tot, record by record: -3.76; -4.35; -4.97; -4.20 eV per atom